Record 1
Compound: Rb2MgSO6
Source: Alexandria
Functional: GGA-PBE
Structure: optimized geometry Values from VASP.

Properties
The space-group type is P-3m1, No. 164. For the uncorrected formation energy, the calculation gives -1.33 eV/atom.

```
&SYSTEM
  ibrav = 0, nat = 10, ntyp = 4
/
ATOMIC_SPECIES
Rb 85.47 Rb.upf
Mg 24.30 Mg.upf
S 32.06 S.upf
O 16.00 O.upf
CELL_PARAMETERS angstrom
-2.6051 4.3368 0.9425
-3.7875 -1.2374 -4.7752
-1.3951 -2.0755 5.6943
ATOMIC_POSITIONS angstrom
Rb -2.6863 -0.9741 2.3831
Rb -5.1014 1.9981 -0.5215
Mg -1.3026 2.1684 0.4712
S 0.0000 0.0000 0.0000
O -2.9287 2.8344 1.5884
O -3.8009 1.5367 5.1487
O -6.1690 0.7631 2.1631
O -3.9868 -0.5128 -3.2871
O -1.6187 0.2609 -0.3015
O -4.8590 -1.8105 0.2731
```

***

Record 2
Compound: K3UTe8Pb3
Source: Alexandria
Functional: GGA-PBE
Structure: optimized geometry Values from VASP.

Properties
The space-group type is C2/m, No. 12. For the uncorrected formation energy, the calculation gives -0.61 eV/atom.

```
&SYSTEM
  ibrav = 0, nat = 15, ntyp = 4
/
ATOMIC_SPECIES
K 39.10 K.upf
U 238.03 U.upf
Te 127.60 Te.upf
Pb 207.20 Pb.upf
CELL_PARAMETERS angstrom
-7.6647 4.9905 -0.6331
0.6345 -6.6490 6.2897
5.2835 8.3113 1.5492
ATOMIC_POSITIONS angstrom
K 0.0000 0.0000 0.0000
K 0.3172 -3.3245 3.1448
K -3.5151 -0.8292 2.8283
U 2.6418 4.1557 0.7746
Te -0.1839 0.1664 3.5382
Te -1.5628 6.4864 3.6676
Te -4.0495 2.6459 3.4998
Te 2.3028 4.0069 3.7060
Te -4.3941 6.2603 0.0807
Te 2.6474 0.3925 7.1251
Te -0.2280 3.5477 0.4248
Te -1.5187 3.1051 6.7809
Pb -1.1906 6.6509 0.4580
Pb -0.8734 3.3264 3.6029
Pb 2.9590 0.8311 3.9194
```

***

Record 3
Compound: Sr3TbBe2O6
Source: Alexandria
Functional: GGA-PBE
Structure: optimized geometry Values from VASP.

Properties
The space-group type is P-3m1, No. 164. For the uncorrected formation energy, the calculation gives -2.68 eV/atom.

```
&SYSTEM
  ibrav = 0, nat = 12, ntyp = 4
/
ATOMIC_SPECIES
Sr 87.62 Sr.upf
Tb 158.93 Tb.upf
Be 9.01 Be.upf
O 16.00 O.upf
CELL_PARAMETERS angstrom
-0.9484 -5.5751 -0.1451
3.8250 2.1261 3.5850
-4.8995 0.7083 4.8074
ATOMIC_POSITIONS angstrom
Sr -1.1658 0.0505 5.6774
Sr -0.8571 -2.7912 2.5698
Sr 0.0000 0.0000 0.0000
Tb -2.4497 0.3542 2.4037
Be -2.9830 -2.4839 4.6558
Be 0.9601 -0.2568 3.5914
O 1.1148 -1.6486 4.2518
O -0.2366 -0.0284 2.6359
O 1.5603 0.9704 4.3200
O -1.7864 -2.7123 5.6114
O -3.1377 -1.0921 3.9954
O -3.5832 -3.7111 3.9272
```

***

Record 4
Compound: CdHgBr3
Source: Alexandria
Functional: GGA-PBE
Structure: optimized geometry Values from VASP.

Properties
The space-group type is Pm-3m, No. 221. For the uncorrected formation energy, the calculation gives -0.31 eV/atom.

```
&SYSTEM
  ibrav = 0, nat = 5, ntyp = 3
/
ATOMIC_SPECIES
Cd 112.41 Cd.upf
Hg 200.59 Hg.upf
Br 79.90 Br.upf
CELL_PARAMETERS angstrom
-2.0663 5.0643 -0.5104
-1.2915 0.0112 5.3393
4.9233 2.1284 1.1864
ATOMIC_POSITIONS angstrom
Cd 0.0000 0.0000 0.0000
Hg 0.7827 3.6019 3.0077
Br -0.6458 0.0056 2.6697
Br 2.4617 1.0642 0.5932
Br -1.0331 2.5321 -0.2552
```

***

Record 5
Compound: Na2ErUS4
Source: Alexandria
Functional: GGA-PBE
Structure: optimized geometry Values from VASP.

Properties
The space-group type is P2/m, No. 10. For the uncorrected formation energy, the calculation gives -1.58 eV/atom.

```
&SYSTEM
  ibrav = 0, nat = 8, ntyp = 4
/
ATOMIC_SPECIES
Na 22.99 Na.upf
Er 167.26 Er.upf
U 238.03 U.upf
S 32.06 S.upf
CELL_PARAMETERS angstrom
-1.2571 -3.7238 -0.4569
6.1996 -2.3186 1.8404
-4.0133 0.6416 5.8124
ATOMIC_POSITIONS angstrom
Na -2.6352 -1.5411 2.6778
Na 1.0931 -0.8385 3.8264
Er 2.4712 -3.0212 0.6918
U 0.0000 0.0000 0.0000
S -0.0221 -2.2858 1.5579
S 0.9513 -3.1151 5.6381
S -1.4872 -0.1079 4.9705
S 3.6735 -1.5692 2.6824
```

***

Record 6
Compound: Sc2CuPd3
Source: Alexandria
Functional: GGA-PBE
Structure: optimized geometry Values from VASP.

Properties
The space-group type is Ibam, No. 72. The formation energy is -0.3863 eV per atom.

```
&SYSTEM
  ibrav = 0, nat = 12, ntyp = 3
/
ATOMIC_SPECIES
Sc 44.96 Sc.upf
Cu 63.55 Cu.upf
Pd 106.42 Pd.upf
CELL_PARAMETERS angstrom
-4.5483 -0.6572 -5.3447
3.5076 -3.3011 -2.5790
-2.0508 -2.9343 6.7541
ATOMIC_POSITIONS angstrom
Sc -2.5263 -3.4533 0.9841
Sc -3.8752 -2.0137 -2.6930
Sc 0.7838 -4.8789 1.5234
Sc -0.5651 -3.4393 -2.1538
Cu 1.7538 -1.6505 -1.2895
Cu 0.0000 0.0000 0.0000
Pd -1.3972 -1.1539 -3.3171
Pd 0.3566 -2.8044 -4.6066
Pd -4.8044 -2.6629 -0.2320
Pd -0.0409 -2.5791 0.3519
Pd 1.7130 -4.2297 -0.9376
Pd -3.0506 -4.3135 -1.5216
```

***

Table of D(E_F) (states/eV/f.u.), in record order: 6.34, 17.70, 1.45, 7.21, 5.76, 2.94
Table of total energy (eV per atom), in record order: -5.067, -4.000, -6.589, -1.562, -5.951, -5.776